(1)
The following is a DFT calculation (PBE) of crystalline NiPW at its relaxed geometry.

The volume comes out at 14.1 Å³ per atom. Its total energy is -97.9 eV/cell. As for the density of states at the Fermi level: 6.91 states/eV/cell. Its crystal system is cubic.

The space group is F-43m (No. 216) and the conventional cell measures 5.529, 5.529 and 5.529 Å, with angles of 90.00, 90.00 and 90.00 degrees. Symmetry generates all atoms from Ni at (0.000, 0.000, 0.000), P at (0.250, 0.250, 0.250) and W at (0.000, 0.000, 0.500).

***

(2)
The following is a DFT calculation (PBE) of crystalline RbReMo2 at its relaxed geometry.

The volume comes out at 17.9 Å³ per atom. Its total energy is -112.7 eV/cell. Its relative energy among the computed polymorphs is 0 meV/atom. As for the density of states at the Fermi level: 20.52 states/eV/cell. Its crystal system is cubic.

The space group is Fm-3m (No. 225) and the conventional cell measures 6.588, 6.588 and 6.588 Å, with angles of 90.00, 90.00 and 90.00 degrees. Symmetry generates all atoms from Rb at (0.000, 0.000, 0.000), Re at (0.000, 0.000, 0.500) and Mo at (0.250, 0.250, 0.250).

***

(3)
The following is a DFT calculation (PBE) of crystalline TaSe2I at its relaxed geometry.

The volume comes out at 30.6 Å³ per atom. Its total energy is -67.4 eV/cell. Its relative energy among the computed polymorphs is 5 meV/atom. As for the density of states at the Fermi level: 8.61 states/eV/cell. Its crystal system is trigonal. As for the uncorrected formation energy: -0.525 eV/atom.

The space group is R-3m (No. 166, hexagonal axes) and the conventional cell measures 3.4808, 3.4808 and 34.9663 Å, with angles of 90.00, 90.00 and 120.00 degrees. Symmetry generates all atoms from Ta at (0.0000, 0.0000, 0.0000), Se at (0.0000, 0.0000, 0.3810) and I at (0.0000, 0.0000, 0.5000).

***

(4)
The following is a DFT calculation (PBE) of crystalline Ir2RuAu at its relaxed geometry.

The volume comes out at 15.1 Å³ per atom. Its total energy is -58.1 eV/cell. Its relative energy among the computed polymorphs is 151 meV/atom. As for the density of states at the Fermi level: 9.12 states/eV/cell. Its crystal system is tetragonal.

The space group is I4/mmm (No. 139) and the conventional cell measures 3.901, 3.901 and 7.943 Å, with angles of 90.00, 90.00 and 90.00 degrees. Symmetry generates all atoms from Ir at (0.000, 0.500, 0.250), Ru at (0.000, 0.000, 0.000) and Au at (0.000, 0.000, 0.500).

***

(5)
The following is a DFT calculation (PBE) of crystalline LaMg2Cu at its relaxed geometry.

The volume comes out at 22.7 Å³ per atom. Its total energy is -48.2 eV/cell. As for the density of states at the Fermi level: 2.95 states/eV/cell. Its crystal system is cubic.

The space group is Fm-3m (No. 225) and the conventional cell measures 7.131, 7.131 and 7.131 Å, with angles of 90.00, 90.00 and 90.00 degrees. Symmetry generates all atoms from La at (0.000, 0.000, 0.000), Mg at (0.250, 0.250, 0.250) and Cu at (0.000, 0.000, 0.500).

***

(6)
The following is a DFT calculation (PBE) of crystalline Y2TlNi2 at its relaxed geometry.

The volume comes out at 21.9 Å³ per atom. Its total energy is -56.0 eV/cell. As for the density of states at the Fermi level: 8.12 states/eV/cell. Its crystal system is tetragonal.

The space group is I4/mmm (No. 139) and the conventional cell measures 5.319, 5.319 and 7.742 Å, with angles of 90.00, 90.00 and 90.00 degrees. Symmetry generates all atoms from Y at (0.000, 0.500, 0.250), Tl at (0.000, 0.000, 0.000) and Ni at (0.000, 0.000, 0.355).

***

(7)
The following is a DFT calculation (PBE) of crystalline Hf6Sb3As at its relaxed geometry.

The volume comes out at 22.8 Å³ per atom. Its total energy is -160.9 eV/cell. As for the density of states at the Fermi level: 13.07 states/eV/cell. Its crystal system is monoclinic. As for the uncorrected formation energy: -0.373 eV/atom.

The space group is P2_1/c (No. 14) and the conventional cell measures 6.541, 7.939 and 10.924 Å, with angles of 90.00, 126.60 and 90.00 degrees. Symmetry generates all atoms from Hf at (0.011, 0.090, 0.242), Hf at (0.196, 0.695, 0.063), Hf at (0.404, 0.153, 0.047), Sb at (0.312, 0.130, 0.736), Sb at (0.500, 0.000, 0.500) and As at (0.000, 0.000, 0.000).

***

(8)
The following is a DFT calculation (PBE) of crystalline AlSbBr2 at its relaxed geometry.

The volume comes out at 26.3 Å³ per atom. Its total energy is -22.6 eV/cell. Its relative energy among the computed polymorphs is 318 meV/atom. As for the density of states at the Fermi level: 3.56 states/eV/cell. Its crystal system is orthorhombic. As for the uncorrected formation energy: -0.020 eV/atom.

The space group is Cmmm (No. 65) and the conventional cell measures 3.560, 6.262 and 9.450 Å, with angles of 90.00, 90.00 and 90.00 degrees. Symmetry generates all atoms from Al at (0.000, 0.000, 0.000), Sb at (0.000, 0.000, 0.500) and Br at (0.000, 0.500, 0.222).

***

(9)
The following is a DFT calculation (PBE) of crystalline Pm2Al3InAg4 at its relaxed geometry.

The volume comes out at 21.6 Å³ per atom. Its total energy is -38.0 eV/cell. As for the density of states at the Fermi level: 5.25 states/eV/cell. Its crystal system is tetragonal.

The space group is P-4m2 (No. 115) and the conventional cell measures 4.423, 4.423 and 11.042 Å, with angles of 90.00, 90.00 and 90.00 degrees. Symmetry generates all atoms from Pm at (0.000, 0.500, 0.242), Al at (0.000, 0.500, 0.872), Al at (0.500, 0.500, 0.500), In at (0.000, 0.000, 0.500), Ag at (0.000, 0.000, 0.000), Ag at (0.000, 0.500, 0.646) and Ag at (0.500, 0.500, 0.000).

***

(10)
The following is a DFT calculation (PBE) of crystalline TbPmSm2Dy at its relaxed geometry.

The volume comes out at 34.1 Å³ per atom. Its total energy is -44.1 eV/cell. As for the density of states at the Fermi level: 12.28 states/eV/cell. Its crystal system is monoclinic.

The space group is P2/c (No. 13) and the conventional cell measures 8.261, 6.672 and 6.186 Å, with angles of 90.00, 90.27 and 90.00 degrees. Symmetry generates all atoms from Tb at (0.000, 0.076, 0.250), Pm at (0.000, 0.500, 0.000), Sm at (0.306, 0.192, 0.748) and Dy at (0.500, 0.340, 0.250).

***

(11)
The following is a DFT calculation (PBE) of crystalline Li3Pu3MnN8 at its relaxed geometry.

The volume comes out at 12.4 Å³ per atom. Its total energy is -400.6 eV/cell. As for the density of states at the Fermi level: 42.85 states/eV/cell. Its crystal system is trigonal. As for the uncorrected formation energy: -0.601 eV/atom.

The space group is R-3m (No. 166, hexagonal axes) and the conventional cell measures 6.5789, 6.5789 and 14.8910 Å, with angles of 90.00, 90.00 and 120.00 degrees. Symmetry generates all atoms from Li at (0.0000, 0.5000, 0.0000), Pu at (0.0000, 0.5000, 0.5000), Mn at (0.0000, 0.0000, 0.5000), N at (0.0000, 0.0000, 0.2400) and N at (0.0164, 0.5082, 0.2333).

***

(12)
The following is a DFT calculation (PBE) of crystalline CaEu2Ho at its relaxed geometry.

The volume comes out at 38.1 Å³ per atom. Its total energy is -106.6 eV/cell. Its relative energy among the computed polymorphs is 51 meV/atom. As for the density of states at the Fermi level: 13.15 states/eV/cell. Its crystal system is cubic.

The space group is Fm-3m (No. 225) and the conventional cell measures 8.477, 8.477 and 8.477 Å, with angles of 90.00, 90.00 and 90.00 degrees. Symmetry generates all atoms from Ca at (0.000, 0.000, 0.000), Eu at (0.250, 0.250, 0.250) and Ho at (0.000, 0.000, 0.500).

***

(13)
The following is a DFT calculation (PBE) of crystalline La2HRh at its relaxed geometry.

The volume comes out at 23.1 Å³ per atom. Its total energy is -68.6 eV/cell. Its relative energy among the computed polymorphs is 0 meV/atom. As for the density of states at the Fermi level: 3.90 states/eV/cell. Its crystal system is trigonal.

The space group is R-3m (No. 166, hexagonal axes) and the conventional cell measures 4.1216, 4.1216 and 18.8110 Å, with angles of 90.00, 90.00 and 120.00 degrees. Symmetry generates all atoms from La at (0.0000, 0.0000, 0.2472), H at (0.0000, 0.0000, 0.5000) and Rh at (0.0000, 0.0000, 0.0000).

***

(14)
The following is a DFT calculation (PBE) of crystalline MgSe at its relaxed geometry.

The volume comes out at 33.3 Å³ per atom. Its total energy is -44.7 eV/cell. As for the density of states at the Fermi level: 0.00 states/eV/cell. Its crystal system is cubic. As for the uncorrected formation energy: -1.184 eV/atom.

The space group is Pm-3n (No. 223) and the conventional cell measures 7.362, 7.362 and 7.362 Å, with angles of 90.00, 90.00 and 90.00 degrees. Symmetry generates all atoms from Mg at (0.000, 0.250, 0.500) and Se at (0.000, 0.500, 0.250).

***

(15)
The following is a DFT calculation (PBE) of crystalline Ba2BeCl at its relaxed geometry.

The volume comes out at 31.3 Å³ per atom. Its total energy is -35.3 eV/cell. Its relative energy among the computed polymorphs is 721 meV/atom. As for the density of states at the Fermi level: 18.38 states/eV/cell. Its crystal system is cubic. As for the uncorrected formation energy: 0.149 eV/atom.

The space group is F-43m (No. 216) and the conventional cell measures 7.944, 7.944 and 7.944 Å, with angles of 90.00, 90.00 and 90.00 degrees. Symmetry generates all atoms from Ba at (0.000, 0.000, 0.000), Ba at (0.250, 0.250, 0.250), Be at (0.250, 0.250, 0.750) and Cl at (0.000, 0.000, 0.500).

***

(16)
The following is a DFT calculation (PBE) of crystalline SiAu5 at its relaxed geometry.

The volume comes out at 17.7 Å³ per atom. Its total energy is -42.5 eV/cell. As for the density of states at the Fermi level: 2.28 states/eV/cell. Its crystal system is orthorhombic. As for the uncorrected formation energy: 0.097 eV/atom.

The space group is Amm2 (No. 38) and the conventional cell measures 4.937, 2.918 and 14.766 Å, with angles of 90.00, 90.00 and 90.00 degrees. Symmetry generates all atoms from Si at (0.000, 0.000, 0.000), Au at (0.000, 0.000, 0.345), Au at (0.000, 0.000, 0.663), Au at (0.500, 0.000, 0.119), Au at (0.500, 0.000, 0.455) and Au at (0.500, 0.000, 0.785).

***

(17)
The following is a DFT calculation (PBE) of crystalline Sm5Dy12Tm2 at its relaxed geometry.

The volume comes out at 32.6 Å³ per atom. Its total energy is -171.0 eV/cell. Its relative energy among the computed polymorphs is 2 meV/atom. As for the density of states at the Fermi level: 49.82 states/eV/cell. Its crystal system is monoclinic.

The space group is C2/m (No. 12) and the conventional cell measures 15.568, 9.243 and 8.618 Å, with angles of 90.00, 92.26 and 90.00 degrees. Symmetry generates all atoms from Sm at (0.000, 0.000, 0.000), Sm at (0.207, 0.500, 0.523), Sm at (0.231, 0.000, 0.071), Dy at (0.057, 0.500, 0.837), Dy at (0.073, 0.000, 0.375), Dy at (0.130, 0.308, 0.173), Dy at (0.148, 0.180, 0.739) and Tm at (0.000, 0.328, 0.500).

***

(18)
The following is a DFT calculation (PBE) of crystalline CaZnSb3 at its relaxed geometry.

The volume comes out at 37.6 Å³ per atom. Its total energy is -12.3 eV/cell. Its relative energy among the computed polymorphs is 612 meV/atom. As for the density of states at the Fermi level: 3.22 states/eV/cell. Its crystal system is cubic. As for the uncorrected formation energy: 0.669 eV/atom.

The space group is Pm-3m (No. 221) and the conventional cell measures 5.729, 5.729 and 5.729 Å, with angles of 90.00, 90.00 and 90.00 degrees. Symmetry generates all atoms from Ca at (0.000, 0.000, 0.000), Zn at (0.500, 0.500, 0.500) and Sb at (0.000, 0.000, 0.500).